The following is a GGA+U calculation of an optimized crystal structure of KCdMoF6, from Alexandria.

Cell: 7.7432 7.9951 11.4176 Å, 90.00 90.00 90.00°
Space group Imma (No. 74)
Inequivalent atoms, fractional coordinates:
1 K 0.0000 0.2500 0.0745 (multiplicity 4)
2 Cd 0.2500 0.2500 0.7500 (multiplicity 4)
3 Mo 0.0000 0.0000 0.5000 (multiplicity 4)
4 F 0.0000 0.2500 0.4424 (multiplicity 4)
5 F 0.0000 0.2500 0.8426 (multiplicity 4)
6 F 0.1999 0.0387 0.6200 (multiplicity 16)

Theoretical density in g/cm³: 3.396
Crystal system: orthorhombic
Total energy in eV per atom: -4.7551
Size of the total moment in μB per cell: 12.0
DOS(E_F) in states/eV/f.u.: 0.000